A plane-wave DFT calculation with GGA+U was carried out for LiAl2NiO after structural relaxation.

Cell: 4.4167 3.6619 4.4167 Å, 90.00 90.00 90.00°
Site moments in Bohr magnetons follow the coordinates.
Atoms (fractional coordinates):
Ni 0.0000 0.5000 0.0000  0.54
Al 0.0000 0.0000 0.5000  0.02
Al 0.5000 0.0000 0.0000  0.03
O 0.5000 0.5000 0.5000  0.08
Li 0.0000 0.0000 0.0000  -0.03

Computed properties:
Final energy ... -12.3 eV for the cell shown
Mass density ... 3.2 Mg/m³